# Tb2Pr2NdEr2

An optimized crystal structure of Tb2Pr2NdEr2 (PBE, the Alexandria database).

Cell lengths 3.5127, 12.1083, 14.9320 Å; angles 156.61, 90.00, 98.34 degrees
With the nearest neighbours (Å) after each atom.
Positions (direct):
Tb1 0.9182 0.8364 0.7690  5 Er 3.47-3.54, 5 Tb 3.51-3.58, 2 Pr 3.69
Tb2 0.0818 0.1636 0.2310  5 Er 3.47-3.54, 5 Tb 3.51-3.58, 2 Pr 3.69
Pr1 0.6076 0.2152 0.8652  4 Pr 3.51-3.86, 3 Nd 3.59-3.66, 3 Er 3.65-3.69, 2 Tb 3.69
Pr2 0.3924 0.7848 0.1348  4 Pr 3.51-3.86, 3 Nd 3.59-3.66, 3 Er 3.65-3.69, 2 Tb 3.69
Nd1 0.0000 0.0000 0.5000  2 Er 3.48, 2 Nd 3.51, 6 Pr 3.59-3.66
Er1 0.7531 0.5063 0.3127  5 Tb 3.47-3.54, 1 Nd 3.48, 2 Er 3.51, 3 Pr 3.65-3.69
Er2 0.2469 0.4937 0.6873  5 Tb 3.47-3.54, 1 Nd 3.48, 2 Er 3.51, 3 Pr 3.65-3.69

As for the density of states at the Fermi level: 1.3714 states/eV/atom. Its space-group type is C2/m (12). The value obtained for the density is 7.63 g/cm3. The value obtained for the energy is -4.57 eV/atom.